Ca2Te3: relaxed, PBE-GGA.

Lattice parameters (Å, degrees): 9.435 6.088 9.530 70.43 37.44 72.12
Fractional positions:
Ca  0.286  0.714  0.317
Ca  0.567  0.933  0.536
Ca  0.714  0.286  0.683
Ca  0.933  0.567  0.964
Te  0.107  0.721  0.111
Te  0.139  0.190  0.143
Te  0.190  0.139  0.529
Te  0.486  0.486  0.514
Te  0.721  0.107  0.060
Te  0.736  0.736  0.764

Output
- Formation energy without anion corrections: -1160 meV per atom
- Crystal system: orthorhombic
- Spin magnetization: 0.0 Bohr magnetons per cell
- Calculated volume: 312.7 Å³/cell
- Space group: Fdd2 (43)